Pm2Tm3S8: relaxed, PBE-GGA.

Summary:
The magnetic moment comes out at 0.000 μB/atom. As for the density: 5.1 g/cm³. The total energy is -6.20 eV/atom. The formation energy (no corrections) comes out at -1.90 eV per atom.

abc: 7.941 7.941 6.678
angles: 107.19 107.19 59.92
Fractional positions:
1 Pm 0.236 0.236 0.159
2 Pm 0.764 0.764 0.841
3 Tm 0.238 0.762 0.500
4 Tm 0.500 0.500 0.000
5 Tm 0.762 0.238 0.500
6 S 0.120 0.120 0.428
7 S 0.148 0.612 0.089
8 S 0.387 0.387 0.577
9 S 0.388 0.852 0.911
10 S 0.612 0.148 0.089
11 S 0.613 0.613 0.423
12 S 0.852 0.388 0.911
13 S 0.880 0.880 0.572